# PBE with a Hubbard U Co3PtF6, optimized geometry
# Electronic total energy = -4.75 eV per atom
data_Co3PtF6
_cell_length_a 5.392
_cell_length_b 5.492
_cell_length_c 5.966
_cell_angle_alpha 75.05
_cell_angle_beta 80.04
_cell_angle_gamma 62.13
_space_group_name_H-M_alt 'P -1'
_space_group_IT_number 2
_space_group_name_Hall '-P 1'
loop_
_atom_site_label
_atom_site_fract_x
_atom_site_fract_y
_atom_site_fract_z
Co1 0.000 0.000 0.000
Co2 0.000 0.000 0.500
Co3 0.500 0.500 0.000
Pt1 0.000 0.500 0.000
F1 0.057 0.332 0.339
F2 0.287 0.772 0.234
F3 0.303 0.861 0.750

---

# PBE with a Hubbard U Co3PtF, optimized geometry
# Distance to the lowest polymorph of the same formula = 0 meV per atom
data_Co3PtF
_cell_length_a 4.080
_cell_length_b 4.080
_cell_length_c 4.080
_cell_angle_alpha 90.00
_cell_angle_beta 90.00
_cell_angle_gamma 90.00
_space_group_name_H-M_alt 'P m -3 m'
_space_group_IT_number 221
_space_group_name_Hall '-P 4 2 3'
loop_
_atom_site_label
_atom_site_fract_x
_atom_site_fract_y
_atom_site_fract_z
Co1 0.000 0.000 0.500
Pt1 0.500 0.500 0.500
F1 0.000 0.000 0.000

---

# PBE with a Hubbard U Co2PtF, optimized geometry
# Distance to the lowest polymorph of the same formula = 486 meV per atom
data_Co2PtF
_cell_length_a 5.908
_cell_length_b 5.908
_cell_length_c 5.908
_cell_angle_alpha 90.00
_cell_angle_beta 90.00
_cell_angle_gamma 90.00
_space_group_name_H-M_alt 'F m -3 m'
_space_group_IT_number 225
_space_group_name_Hall '-F 4 2 3'
loop_
_atom_site_label
_atom_site_fract_x
_atom_site_fract_y
_atom_site_fract_z
Co1 0.250 0.250 0.250
Pt1 0.000 0.000 0.000
F1 0.000 0.000 0.500

---

# PBE with a Hubbard U CoPtF3, optimized geometry
# Distance to the lowest polymorph of the same formula = 322 meV per atom
data_CoPtF3
_cell_length_a 4.315
_cell_length_b 4.315
_cell_length_c 4.315
_cell_angle_alpha 90.00
_cell_angle_beta 90.00
_cell_angle_gamma 90.00
_space_group_name_H-M_alt 'P m -3 m'
_space_group_IT_number 221
_space_group_name_Hall '-P 4 2 3'
loop_
_atom_site_label
_atom_site_fract_x
_atom_site_fract_y
_atom_site_fract_z
Co1 0.000 0.000 0.000
Pt1 0.500 0.500 0.500
F1 0.000 0.500 0.500

---

# PBE with a Hubbard U CoPtF6, optimized geometry
# Electronic total energy = -4.45 eV per atom
data_CoPtF6
_cell_length_a 5.1122
_cell_length_b 5.1122
_cell_length_c 13.8328
_cell_angle_alpha 90.00
_cell_angle_beta 90.00
_cell_angle_gamma 120.00
_space_group_name_H-M_alt 'R -3'
_space_group_IT_number 148
_space_group_name_Hall '-R 3'
loop_
_atom_site_label
_atom_site_fract_x
_atom_site_fract_y
_atom_site_fract_z
Co1 0.0000 0.0000 0.0000
Pt1 0.0000 0.0000 0.5000
F1 0.0062 0.3611 0.2490

---

# PBE with a Hubbard U CoPt2F8, optimized geometry
# Electronic total energy = -4.29 eV per atom
data_CoPt2F8
_cell_length_a 9.238
_cell_length_b 6.728
_cell_length_c 4.757
_cell_angle_alpha 90.00
_cell_angle_beta 92.46
_cell_angle_gamma 90.00
_space_group_name_H-M_alt 'C 1 2/m 1'
_space_group_IT_number 12
_space_group_name_Hall '-C 2y'
loop_
_atom_site_label
_atom_site_fract_x
_atom_site_fract_y
_atom_site_fract_z
Co1 0.000 0.000 0.000
Pt1 0.120 0.500 0.245
F1 0.099 0.500 0.742
F2 0.117 0.204 0.241
F3 0.166 0.000 0.745